Here is K2BaHg after structural relaxation from the Alexandria database. Energies are from GGA-PBE.

Summary:
size of the total moment	0.050	μB/cell
total DFT energy (no corrections)	-1.124	eV/atom
theoretical density	3.69	g cm⁻³

```
data_K2BaHg
_cell_length_a 9.0809
_cell_length_b 9.0809
_cell_length_c 9.0809
_cell_angle_alpha 90.00
_cell_angle_beta 90.00
_cell_angle_gamma 90.00
_space_group_name_H-M_alt 'F -4 3 m'
_space_group_IT_number 216
_space_group_name_Hall 'F -4 2 3'
loop_
_atom_site_label
_atom_site_type_symbol
_atom_site_fract_x
_atom_site_fract_y
_atom_site_fract_z
_atom_site_occupancy
K1 K 0.0000 0.0000 0.0000 1
K2 K 0.2500 0.2500 0.2500 1
Ba1 Ba 0.0000 0.0000 0.5000 1
Hg1 Hg 0.2500 0.2500 0.7500 1
```